[1]
AlFe2SiI | PBE | relaxed

The space group is P4/mmm (No. 123) and the conventional cell measures 4.593, 4.593 and 5.661 Å, with angles of 90.00, 90.00 and 90.00 degrees. The inequivalent atoms are Al at (0.000, 0.000, 0.000), Fe at (0.000, 0.500, 0.000), Si at (0.500, 0.500, 0.500) and I at (0.000, 0.000, 0.500).

The total magnetization is 1.007 μB per atom. The raw formation energy comes out at 1.442 eV/atom.

---

[2]
AlVFeI2 | PBE | relaxed

The space group is P4/mmm (No. 123) and the conventional cell measures 5.406, 5.406 and 4.539 Å, with angles of 90.00, 90.00 and 90.00 degrees. The inequivalent atoms are Al at (0.000, 0.000, 0.000), V at (0.500, 0.500, 0.000), Fe at (0.500, 0.500, 0.500) and I at (0.000, 0.500, 0.500).

The total magnetization is 0.345 μB per atom. The raw formation energy comes out at 0.777 eV/atom.

---

[3]
Al2InFe | PBE | relaxed

The space group is Immm (No. 71) and the conventional cell measures 2.711, 4.542 and 11.460 Å, with angles of 90.00, 90.00 and 90.00 degrees. The inequivalent atoms are Al at (0.000, 0.000, 0.189), In at (0.000, 0.500, 0.000) and Fe at (0.000, 0.500, 0.500).

The total magnetization is 0.321 μB per atom. As for the formation energy: 72 meV/atom.

---

[4]
Al2In2Fe | PBE | relaxed

The space group is P4/mbm (No. 127) and the conventional cell measures 6.663, 6.663 and 4.409 Å, with angles of 90.00, 90.00 and 90.00 degrees. The inequivalent atoms are Al at (0.149, 0.351, 0.000), In at (0.168, 0.668, 0.500) and Fe at (0.000, 0.000, 0.000).

The total magnetization is 0.460 μB per atom. As for the formation energy: 285 meV/atom.

---

[5]
AlIn2Fe2 | PBE | relaxed

The space group is P4/mbm (No. 127) and the conventional cell measures 6.228, 6.228 and 4.138 Å, with angles of 90.00, 90.00 and 90.00 degrees. The inequivalent atoms are Al at (0.000, 0.000, 0.000), In at (0.170, 0.330, 0.500) and Fe at (0.132, 0.632, 0.000).

The total magnetization is 0.172 μB per atom. As for the formation energy: 144 meV/atom.

---

[6]
Al2InFe | PBE | relaxed

The space group is C2/m (No. 12) and the conventional cell measures 5.483, 9.654 and 2.945 Å, with angles of 90.00, 118.96 and 90.00 degrees. The inequivalent atoms are Al at (0.250, 0.250, 0.000), In at (0.000, 0.000, 0.000) and Fe at (0.000, 0.500, 0.000).

The total magnetization is 0.540 μB per atom. As for the formation energy: 237 meV/atom.

---

[7]
AlIn3Fe | PBE | relaxed

The space group is Pm-3m (No. 221) and the conventional cell measures 4.997, 4.997 and 4.997 Å, with angles of 90.00, 90.00 and 90.00 degrees. The inequivalent atoms are Al at (0.000, 0.000, 0.000), In at (0.000, 0.500, 0.500) and Fe at (0.500, 0.500, 0.500).

The total magnetization is 0.044 μB per atom. As for the formation energy: 365 meV/atom. The distance to the lowest polymorph of the same formula is 0 meV/atom.

---

[8]
Al2InFe | PBE | relaxed

The space group is P4/mmm (No. 123) and the conventional cell measures 4.052, 4.052 and 3.993 Å, with angles of 90.00, 90.00 and 90.00 degrees. The inequivalent atoms are Al at (0.000, 0.500, 0.000), In at (0.000, 0.000, 0.500) and Fe at (0.500, 0.500, 0.500).

The total magnetization is 0.547 μB per atom. As for the formation energy: 192 meV/atom.

---

[9]
Al2InFe | PBE | relaxed

The space group is P2/m (No. 10) and the conventional cell measures 4.894, 2.968 and 4.942 Å, with angles of 90.00, 112.52 and 90.00 degrees. The inequivalent atoms are Al at (0.000, 0.000, 0.000), Al at (0.500, 0.500, 0.000), In at (0.000, 0.500, 0.500) and Fe at (0.500, 0.000, 0.500).

The total magnetization is 0.540 μB per atom. As for the formation energy: 191 meV/atom.

---

[10]
Al2InFe | PBE | relaxed

The space group is C2/m (No. 12) and the conventional cell measures 9.026, 3.254 and 4.636 Å, with angles of 90.00, 106.85 and 90.00 degrees. The inequivalent atoms are Al at (0.226, 0.000, 0.204), In at (0.000, 0.000, 0.500) and Fe at (0.000, 0.500, 0.000).

The total magnetization is 0.355 μB per atom. As for the formation energy: 116 meV/atom.

---

[11]
AlIn3Fe | PBE | relaxed

The space group is Pm-3m (No. 221) and the conventional cell measures 5.272, 5.272 and 5.272 Å, with angles of 90.00, 90.00 and 90.00 degrees. The inequivalent atoms are Al at (0.000, 0.000, 0.000), In at (0.000, 0.000, 0.500) and Fe at (0.500, 0.500, 0.500).

The total magnetization is 0.675 μB per atom. As for the formation energy: 926 meV/atom. The distance to the lowest polymorph of the same formula is 561 meV/atom.

---

[12]
Al2InFe | PBE | relaxed

The space group is Cmmm (No. 65) and the conventional cell measures 5.514, 8.195 and 2.984 Å, with angles of 90.00, 90.00 and 90.00 degrees. The inequivalent atoms are Al at (0.250, 0.250, 0.000), In at (0.000, 0.000, 0.500) and Fe at (0.000, 0.500, 0.500).

The total magnetization is 0.589 μB per atom. As for the formation energy: 227 meV/atom.